P | ## RbTmGeS3 (GGA-PBE)

Data for crystalline RbTmGeS3 at its relaxed geometry.

Calculated values
crystal system = orthorhombic
SG = No. 63

a = 8.0786 Å, b = 8.0786 Å, c = 11.1446 Å
α = 90.00°, β = 90.00°, γ = 152.27°
Atoms (fractional coordinates):
1 Ge 0.3981 0.6019 0.2500
2 Ge 0.6019 0.3981 0.7500
3 Rb 0.7028 0.2972 0.2500
4 Rb 0.2972 0.7028 0.7500
5 S 0.3835 0.6165 0.0147
6 S 0.9996 0.0004 0.2500
7 S 0.3835 0.6165 0.4853
8 S 0.6165 0.3835 0.5147
9 S 0.0004 0.9996 0.7500
10 S 0.6165 0.3835 0.9853
11 Tm 0.0000 0.0000 0.0000
12 Tm 0.0000 0.0000 0.5000

=====

Q | ## RbTmGeS3 (GGA-PBE)

Data for crystalline RbTmGeS3 at its relaxed geometry.

Calculated values
crystal system = orthorhombic
SG = No. 62

a = 15.4479 Å, b = 3.8914 Å, c = 11.2497 Å
α = 90.00°, β = 90.00°, γ = 90.00°
Atoms (fractional coordinates):
1 Ge 0.0352 0.7500 0.0874
2 Ge 0.5352 0.7500 0.4126
3 Ge 0.4648 0.2500 0.5874
4 Ge 0.9648 0.2500 0.9126
5 Rb 0.7695 0.2500 0.0748
6 Rb 0.2695 0.2500 0.4252
7 Rb 0.7305 0.7500 0.5748
8 Rb 0.2305 0.7500 0.9252
9 S 0.5978 0.7500 0.0397
10 S 0.1215 0.2500 0.1665
11 S 0.9229 0.7500 0.2262
12 S 0.4229 0.7500 0.2738
13 S 0.6215 0.2500 0.3335
14 S 0.0978 0.7500 0.4603
15 S 0.9022 0.2500 0.5397
16 S 0.3785 0.7500 0.6665
17 S 0.5771 0.2500 0.7262
18 S 0.0771 0.2500 0.7738
19 S 0.8785 0.7500 0.8335
20 S 0.4022 0.2500 0.9603
21 Tm 0.5081 0.2500 0.1472
22 Tm 0.0081 0.2500 0.3528
23 Tm 0.9919 0.7500 0.6472
24 Tm 0.4919 0.7500 0.8528

=====

Short version: P is the least stable of them.